[1]
Compound: TaTi2Zn
Source: Alexandria
Functional: PBE
Structure: optimized geometry

Geometry as POSCAR:
```
TaTi2Zn
1.0
2.767 -0.578 -0.243
0.883 2.685 -0.243
0.396 0.229 8.419
Ta Ti Zn
1 2 1
direct
0.625 0.625 0.000
0.151 0.151 0.740
0.099 0.099 0.260
0.625 0.625 0.500
```

ΔH_f (0 K): -0.051 eV per atom
SG: No. 12
mass density: 8.45 g/cm3


[2]
Compound: K2Rb7Hg
Source: Alexandria
Functional: PBE
Structure: optimized geometry

Geometry as POSCAR:
```
K2Rb7Hg
1.0
11.047 0.000 5.387
4.699 11.820 4.384
0.936 -0.491 12.100
Rb K Hg
14 4 2
direct
0.380 0.750 0.250
0.097 0.303 0.957
0.304 0.476 0.131
0.232 0.895 0.935
0.939 0.395 0.435
0.357 0.197 0.543
0.643 0.803 0.457
0.911 0.024 0.369
0.903 0.697 0.043
0.061 0.605 0.565
0.620 0.250 0.750
0.696 0.524 0.869
0.768 0.105 0.065
0.089 0.976 0.631
0.649 0.902 0.809
0.640 0.402 0.309
0.351 0.098 0.191
0.360 0.598 0.691
0.026 0.750 0.250
0.974 0.250 0.750
```

ΔH_f (0 K): -0.034 eV per atom
SG: No. 15
mass density: 1.90 g/cm3


[3]
Compound: TbNd2AgSe5
Source: Alexandria
Functional: PBE
Structure: optimized geometry

Geometry as POSCAR:
```
TbNd2AgSe5
1.0
-3.540 -2.163 0.306
4.664 -4.521 -6.266
5.131 -7.128 8.963
Se Nd Tb Ag
10 4 2 2
direct
0.955 0.909 0.580
0.045 0.091 0.080
0.694 0.387 0.844
0.502 0.004 0.273
0.498 0.996 0.773
0.287 0.573 0.668
0.360 0.719 0.000
0.713 0.427 0.168
0.306 0.613 0.344
0.640 0.281 0.500
0.875 0.750 0.806
0.890 0.780 0.186
0.125 0.250 0.306
0.110 0.220 0.686
0.804 0.609 0.509
0.196 0.391 0.009
0.557 0.113 0.960
0.443 0.887 0.460
```

SG: No. 36
mass density: 6.88 g/cm3
energy relative to the elements, uncorrected: -1.548 eV per atom


[4]
Compound: K2LaRu
Source: Alexandria
Functional: PBE
Structure: optimized geometry

Geometry as POSCAR:
```
K2LaRu
1.0
3.803 0.119 0.000
-0.124 3.803 0.000
0.000 0.000 10.938
Ru La K
1 1 2
direct
0.500 0.500 0.667
0.000 0.000 0.605
0.000 0.000 0.929
0.500 0.500 0.299
```

excess energy over the best structure of this formula in the dataset: 13 meV per atom
ΔH_f (0 K): 0.239 eV per atom
SG: No. 35
mass density: 3.34 g/cm3


[5]
Compound: Te3OsRh
Source: Alexandria
Functional: PBE
Structure: optimized geometry

Geometry as POSCAR:
```
Te3OsRh
1.0
5.159 0.000 0.000
0.000 5.159 0.000
0.000 0.000 5.159
Os Te Rh
1 3 1
direct
0.000 0.000 0.000
0.000 0.500 0.000
0.500 0.000 0.000
0.000 0.000 0.500
0.500 0.500 0.500
```

excess energy over the best structure of this formula in the dataset: 0 meV per atom
SG: No. 221
mass density: 8.18 g/cm3
energy relative to the elements, uncorrected: 1.178 eV per atom


[6]
Compound: Ca2AsF
Source: Alexandria
Functional: PBE
Structure: optimized geometry

Geometry as POSCAR:
```
Ca2AsF
1.0
-3.055 4.842 -0.666
-2.835 -2.396 -4.410
-7.369 -1.010 1.520
As Ca F
2 4 2
direct
0.000 0.000 0.000
0.750 0.250 0.500
0.180 0.625 0.250
0.875 0.820 0.750
0.570 0.125 0.250
0.375 0.430 0.750
0.500 0.500 0.000
0.250 0.750 0.500
```

excess energy over the best structure of this formula in the dataset: 194 meV per atom
SG: No. 122
mass density: 2.72 g/cm3
energy relative to the elements, uncorrected: -1.898 eV per atom


[7]
Compound: BaCrAu2I
Source: Alexandria
Functional: PBE
Structure: optimized geometry

Geometry as POSCAR:
```
BaCrAu2I
1.0
-0.229 -5.637 0.081
2.311 -0.029 4.528
-5.021 0.241 2.564
Au Ba Cr I
2 1 1 1
direct
0.500 0.000 0.000
0.000 0.000 0.500
0.500 0.500 0.500
0.000 0.500 0.000
0.000 0.000 0.000
```

SG: No. 123
mass density: 7.29 g/cm3
energy relative to the elements, uncorrected: 0.425 eV per atom


[8]
Compound: Ba3Sr3AgHg2
Source: Alexandria
Functional: PBE
Structure: optimized geometry

Geometry as POSCAR:
```
Ba3Sr3AgHg2
1.0
-2.308 2.063 3.831
5.942 -4.299 5.894
2.063 8.544 -3.358
Sr Hg Ag Ba
3 2 1 3
direct
0.500 0.000 0.752
0.500 0.248 0.248
0.500 0.752 0.000
0.500 0.667 0.333
0.500 0.333 0.667
0.000 0.000 0.000
0.000 0.409 0.000
0.000 0.591 0.591
0.000 0.000 0.409
```

ΔH_f (0 K): -0.285 eV per atom
SG: No. 189
mass density: 5.21 g/cm3


[9]
Compound: CdCuRh
Source: Alexandria
Functional: PBE
Structure: optimized geometry

Geometry as POSCAR:
```
CdCuRh
1.0
3.855 0.000 0.000
-1.928 5.962 -0.204
0.000 -3.844 4.180
Cd Rh Cu
2 2 2
direct
0.499 0.999 0.753
0.501 0.001 0.247
0.171 0.342 0.754
0.829 0.658 0.246
0.178 0.355 0.264
0.822 0.645 0.736
```

excess energy over the best structure of this formula in the dataset: 32 meV per atom
ΔH_f (0 K): 0.050 eV per atom
SG: No. 12
mass density: 9.95 g/cm3


[10]
Compound: Pm2GaSbPd6
Source: Alexandria
Functional: PBE
Structure: optimized geometry

Geometry as POSCAR:
```
Pm2GaSbPd6
1.0
6.444 -0.727 -1.213
-0.906 6.454 1.280
1.860 3.701 5.166
Sb Pm Pd Ga
1 2 6 1
direct
0.000 0.000 0.000
0.252 0.752 0.499
0.748 0.248 0.501
0.922 0.741 0.821
0.682 0.194 0.009
0.318 0.308 0.489
0.318 0.806 0.991
0.682 0.692 0.511
0.078 0.259 0.179
0.500 0.500 0.000
```

SG: No. 2
mass density: 9.40 g/cm3
energy relative to the elements, uncorrected: -0.697 eV per atom


[11]
Compound: NiI3
Source: Alexandria
Functional: PBE
Structure: optimized geometry

Geometry as POSCAR:
```
NiI3
1.0
7.491 0.000 0.000
0.000 7.491 0.000
3.745 3.745 5.198
I Ni
6 2
direct
0.509 0.125 0.250
0.000 0.000 0.000
0.750 0.250 0.500
0.241 0.625 0.250
0.875 0.759 0.750
0.375 0.491 0.750
0.250 0.750 0.500
0.500 0.500 0.000
```

SG: No. 122
mass density: 5.00 g/cm3
energy relative to the elements, uncorrected: 0.184 eV per atom


[12]
Compound: TlVFe2I8
Source: Alexandria
Functional: PBE
Structure: optimized geometry

Geometry as POSCAR:
```
TlVFe2I8
1.0
7.158 -0.412 0.021
2.937 6.541 0.021
0.513 0.311 10.032
I Tl Fe V
8 1 2 1
direct
0.255 0.767 0.796
0.704 0.704 0.443
0.767 0.255 0.796
0.237 0.237 0.002
0.233 0.745 0.204
0.745 0.233 0.204
0.296 0.296 0.557
0.763 0.763 0.998
0.000 0.000 0.500
0.372 0.372 0.787
0.628 0.628 0.213
0.000 0.000 0.000
```

SG: No. 12
mass density: 4.76 g/cm3
energy relative to the elements, uncorrected: -0.264 eV per atom


[13]
Compound: Pa2TaGa3
Source: Alexandria
Functional: PBE
Structure: optimized geometry

Geometry as POSCAR:
```
Pa2TaGa3
1.0
-0.299 5.409 0.263
0.250 -2.486 -4.814
-4.528 -3.030 1.318
Ta Pa Ga
1 2 3
direct
0.000 0.000 0.000
0.277 0.639 0.915
0.723 0.361 0.085
0.500 0.000 0.500
0.000 0.000 0.500
0.500 0.500 0.500
```

excess energy over the best structure of this formula in the dataset: 0 meV per atom
ΔH_f (0 K): -0.284 eV per atom
SG: No. 12
mass density: 11.96 g/cm3


[14]
Compound: Fe3HW
Source: Alexandria
Functional: PBE
Structure: optimized geometry

Geometry as POSCAR:
```
Fe3HW
1.0
3.600 -2.078 0.000
0.000 4.157 0.000
0.000 0.000 7.282
Fe W H
6 2 2
direct
0.667 0.333 0.918
0.000 0.000 0.250
0.333 0.667 0.082
0.000 0.000 0.750
0.667 0.333 0.582
0.333 0.667 0.418
0.333 0.667 0.750
0.667 0.333 0.250
0.000 0.000 0.000
0.000 0.000 0.500
```

excess energy over the best structure of this formula in the dataset: 480 meV per atom
SG: No. 194
mass density: 10.74 g/cm3


[15]
Compound: DyY3Te6
Source: Alexandria
Functional: PBE
Structure: optimized geometry

Geometry as POSCAR:
```
DyY3Te6
1.0
4.349 0.000 0.000
0.000 11.783 -4.112
0.000 -0.037 12.805
Y Te Dy
6 12 2
direct
0.750 0.684 0.502
0.250 0.316 0.498
0.250 0.570 0.166
0.750 0.155 0.079
0.250 0.845 0.921
0.750 0.430 0.834
0.250 0.607 0.938
0.750 0.750 0.281
0.250 0.190 0.250
0.250 0.517 0.382
0.750 0.393 0.062
0.250 0.084 0.898
0.250 0.250 0.719
0.750 0.110 0.467
0.750 0.916 0.102
0.750 0.483 0.618
0.750 0.810 0.750
0.250 0.890 0.533
0.250 0.956 0.306
0.750 0.044 0.694
```

excess energy over the best structure of this formula in the dataset: 0 meV per atom
SG: No. 11
mass density: 6.05 g/cm3
energy relative to the elements, uncorrected: -1.386 eV per atom


[16]
Compound: Ba2ZnRhAu
Source: Alexandria
Functional: PBE
Structure: optimized geometry

Geometry as POSCAR:
```
Ba2ZnRhAu
1.0
5.935 0.000 0.000
0.000 5.935 0.000
0.000 0.000 4.812
Rh Zn Ba Au
1 1 2 1
direct
0.000 0.000 0.000
0.000 0.000 0.500
0.000 0.500 0.000
0.500 0.000 0.000
0.500 0.500 0.500
```

ΔH_f (0 K): -0.318 eV per atom
SG: No. 123
mass density: 6.27 g/cm3


[17]
Compound: Tm6Bi3Sb2Te
Source: Alexandria
Functional: PBE
Structure: optimized geometry

Geometry as POSCAR:
```
Tm6Bi3Sb2Te
1.0
-1.423 -3.670 1.921
-0.517 -3.898 -7.829
9.602 -0.132 1.868
Tm Sb Bi Te
6 2 3 1
direct
0.669 0.089 0.337
0.002 0.254 0.004
0.668 0.579 0.337
0.331 0.911 0.663
0.998 0.746 0.996
0.332 0.421 0.663
0.834 0.668 0.667
0.166 0.332 0.333
0.165 0.833 0.330
0.835 0.167 0.670
0.500 0.500 0.000
0.500 0.000 0.000
```

SG: No. 12
mass density: 9.38 g/cm3
energy relative to the elements, uncorrected: -0.967 eV per atom


[18]
Compound: MnCoAs
Source: Alexandria
Functional: PBE
Structure: optimized geometry

Geometry as POSCAR:
```
MnCoAs
1.0
2.955 0.000 0.000
-1.478 2.559 0.000
0.000 0.000 5.720
As Mn Co
1 1 1
direct
0.000 0.000 0.022
0.333 0.667 0.651
0.667 0.333 0.327
```

ΔH_f (0 K): 0.193 eV per atom
SG: No. 156
mass density: 7.25 g/cm3


[19]
Compound: TcAu4
Source: Alexandria
Functional: PBE
Structure: optimized geometry

Geometry as POSCAR:
```
TcAu4
1.0
3.581 -0.965 -3.466
-0.997 -2.037 4.541
-4.080 -1.619 -2.549
Au Tc
4 1
direct
0.203 0.604 0.807
0.604 0.797 0.400
0.396 0.203 0.600
0.797 0.396 0.193
0.000 0.000 0.000
```

excess energy over the best structure of this formula in the dataset: 0 meV per atom
ΔH_f (0 K): 0.280 eV per atom
SG: No. 87
mass density: 16.63 g/cm3


[20]
Compound: Pm2Sn4HgPt3
Source: Alexandria
Functional: PBE
Structure: optimized geometry

Geometry as POSCAR:
```
Pm2Sn4HgPt3
1.0
4.518 0.000 0.000
0.000 4.518 0.000
0.000 0.000 11.407
Pt Sn Pm Hg
3 4 2 1
direct
0.000 0.000 0.500
0.000 0.500 0.129
0.500 0.000 0.871
0.500 0.500 0.000
0.500 0.000 0.644
0.000 0.000 0.000
0.000 0.500 0.356
0.500 0.000 0.256
0.000 0.500 0.744
0.500 0.500 0.500
```

ΔH_f (0 K): -0.682 eV per atom
SG: No. 115
mass density: 11.06 g/cm3


[21]
Compound: TbPrTh2Bi5
Source: Alexandria
Functional: PBE
Structure: optimized geometry

Geometry as POSCAR:
```
TbPrTh2Bi5
1.0
-1.347 3.209 4.165
-4.130 -3.307 1.211
7.155 -6.310 7.175
Pr Tb Bi Th
1 1 5 2
direct
0.000 0.000 0.000
0.000 0.000 0.500
0.000 0.000 0.749
0.000 0.000 0.251
0.500 0.000 0.500
0.000 0.500 0.500
0.500 0.500 0.000
0.500 0.500 0.300
0.500 0.500 0.700
```

ΔH_f (0 K): 0.030 eV per atom
SG: No. 123
mass density: 8.54 g/cm3


[22]
Compound: K2BeNi
Source: Alexandria
Functional: PBE
Structure: optimized geometry

Geometry as POSCAR:
```
K2BeNi
1.0
-2.530 3.056 -4.680
-5.634 2.009 1.367
5.880 0.398 1.705
Ni K Be
1 2 1
direct
0.408 0.408 0.000
0.033 0.033 0.000
0.721 0.221 0.500
0.338 0.838 0.500
```

ΔH_f (0 K): 0.526 eV per atom
SG: No. 44
mass density: 2.16 g/cm3


[23]
Compound: HfBe9Ir2
Source: Alexandria
Functional: PBE
Structure: optimized geometry

Geometry as POSCAR:
```
HfBe9Ir2
1.0
-2.631 3.537 0.066
-1.865 1.290 3.781
4.041 5.705 2.617
Be Ir Hf
9 2 1
direct
0.668 0.668 0.997
0.411 0.411 0.260
0.589 0.081 0.740
0.411 0.919 0.260
0.081 0.589 0.740
0.919 0.411 0.260
0.500 0.500 0.500
0.589 0.589 0.740
0.332 0.332 0.003
0.136 0.136 0.591
0.864 0.864 0.409
0.000 0.000 0.000
```

excess energy over the best structure of this formula in the dataset: 3 meV per atom
ΔH_f (0 K): -0.409 eV per atom
SG: No. 166
mass density: 9.05 g/cm3


| no. | total DFT energy (no corrections) (eV per atom) |
| --- | --- |
| 1 | -7.280 |
| 2 | -0.961 |
| 3 | -5.375 |
| 4 | -3.861 |
| 5 | -4.424 |
| 6 | -4.529 |
| 7 | -3.505 |
| 8 | -1.871 |
| 9 | -4.071 |
| 10 | -5.477 |
| 11 | -2.424 |
| 12 | -3.665 |
| 13 | -6.938 |
| 14 | -7.851 |
| 15 | -5.671 |
| 16 | -3.468 |
| 17 | -5.122 |
| 18 | -6.782 |
| 19 | -4.415 |
| 20 | -5.076 |
| 21 | -4.821 |
| 22 | -2.400 |
| 23 | -5.510 |